# 1
This record from Alexandria via LeMat-Bulk describes an optimized crystal structure of PmPrNdTl. The functional is PBE-GGA.

Geometry as CIF:
```
data_PmPrNdTl
_chemical_formula_sum 'Pm1 Pr1 Nd1 Tl1'
_space_group_name_H-M_alt 'P m m m'
_space_group_IT_number 47
_space_group_name_Hall '-P 2 2'
_cell_length_a 4.974
_cell_length_b 4.998
_cell_length_c 5.020
_cell_angle_alpha 90.00
_cell_angle_beta 90.00
_cell_angle_gamma 90.00
loop_
_atom_site_label
_atom_site_fract_x
_atom_site_fract_y
_atom_site_fract_z
Pm1 0.000 0.000 0.000
Pr1 0.500 0.000 0.500
Nd1 0.000 0.500 0.500
Tl1 0.500 0.500 0.000
```

## Properties
Calculated formation energy (eV per formula unit): -0.82
Magnetization (Bohr magnetons per cell): 0.0
Energy relative to the lowest polymorph listed for this composition (meV per atom): 0
Mass density (Mg/m³): 8.44
Density of states at the Fermi level (states/eV/cell): 7.15



# 2
This record from Alexandria via LeMat-Bulk describes an optimized crystal structure of HfSb3Te. The functional is PBE-GGA.

Geometry as CIF:
```
data_HfSb3Te
_chemical_formula_sum 'Hf1 Sb3 Te1'
_space_group_name_H-M_alt 'P m -3 m'
_space_group_IT_number 221
_space_group_name_Hall '-P 4 2 3'
_cell_length_a 5.504
_cell_length_b 5.504
_cell_length_c 5.504
_cell_angle_alpha 90.00
_cell_angle_beta 90.00
_cell_angle_gamma 90.00
loop_
_atom_site_label
_atom_site_fract_x
_atom_site_fract_y
_atom_site_fract_z
Hf1 0.000 0.000 0.000
Sb1 0.000 0.000 0.500
Te1 0.500 0.500 0.500
```

## Properties
Magnetization (Bohr magnetons per cell): 0.0
Formation energy without anion corrections (eV per atom): 0.336
Energy relative to the lowest polymorph listed for this composition (meV per atom): 0
Mass density (Mg/m³): 6.68
Density of states at the Fermi level (states/eV/cell): 8.02